Entry 1:
VASP calculation (GGA-PBE) on a geometry-optimized La2CdAs2 structure.

crystal system = tetragonal
ΔH_f (0 K) = -1092 meV per atom
raw total energy = -51.06 eV per cell
space-group type = P4/mbm
total magnetic moment = 0.00 μB per formula unit

Cell: 8.099 8.099 4.042 Å, 90.00 90.00 90.00°
Atoms (fractional coordinates):
As 0.846 0.654 0.000
As 0.654 0.154 0.000
La 0.346 0.154 0.500
As 0.346 0.846 0.000
As 0.154 0.346 0.000
La 0.154 0.654 0.500
Cd 0.000 0.000 0.000
La 0.654 0.846 0.500
La 0.846 0.346 0.500
Cd 0.500 0.500 0.000

=====

Entry 2:
VASP calculation (GGA-PBE) on a geometry-optimized LaCdAs2 structure.

crystal system = tetragonal
ΔH_f (0 K) = -602 meV per atom
raw total energy = -35.10 eV per cell
space-group type = I-42d
total magnetic moment = 0.00 μB per formula unit

Cell: 7.691 7.691 6.452 Å, 53.42 53.42 90.00°
Atoms (fractional coordinates):
Cd 0.500 0.500 0.000
As 0.594 0.125 0.250
As 0.156 0.625 0.250
As 0.375 0.406 0.750
Cd 0.250 0.750 0.500
La 0.750 0.250 0.500
As 0.875 0.844 0.750
La 0.000 0.000 0.000

=====

Entry 3:
VASP calculation (GGA-PBE) on a geometry-optimized La2CdAs2 structure.

crystal system = tetragonal
ΔH_f (0 K) = -949 meV per atom
raw total energy = -49.63 eV per cell
space-group type = P4/mbm
total magnetic moment = 0.00 μB per formula unit

Cell: 8.448 8.448 3.908 Å, 90.00 90.00 90.00°
Atoms (fractional coordinates):
As 0.841 0.341 0.500
As 0.341 0.159 0.500
La 0.644 0.144 0.000
As 0.659 0.841 0.500
La 0.144 0.356 0.000
As 0.159 0.659 0.500
Cd 0.500 0.500 0.000
La 0.356 0.856 0.000
La 0.856 0.644 0.000
Cd 0.000 0.000 0.000

=====

Entry 4:
VASP calculation (GGA-PBE) on a geometry-optimized LaCd2As structure.

crystal system = orthorhombic
ΔH_f (0 K) = -253 meV per atom
raw total energy = -12.42 eV per cell
space-group type = Cmmm
total magnetic moment = 0.31 μB per formula unit

Cell: 4.069 4.069 6.288 Å, 90.00 90.00 89.93°
Atoms (fractional coordinates):
Cd 0.000 0.000 0.972
La 0.500 0.500 0.250
As 0.500 0.500 0.750
Cd 0.000 0.000 0.528

=====

Entry 5:
VASP calculation (GGA-PBE) on a geometry-optimized LaCdAs2 structure.

crystal system = tetragonal
ΔH_f (0 K) = -745 meV per atom
raw total energy = -36.24 eV per cell
space-group type = P4/nmm
total magnetic moment = 0.00 μB per formula unit

Cell: 4.198 4.198 10.872 Å, 90.00 90.00 90.00°
Atoms (fractional coordinates):
As 0.500 0.000 0.190
Cd 0.000 0.000 0.000
La 0.000 0.500 0.285
As 0.500 0.500 0.500
As 0.000 0.500 0.810
La 0.500 0.000 0.715
As 0.000 0.000 0.500
Cd 0.500 0.500 0.000

=====

Entry 6:
VASP calculation (GGA-PBE) on a geometry-optimized LaCdAs structure.

crystal system = tetragonal
ΔH_f (0 K) = -551 meV per atom
raw total energy = -12.15 eV per cell
space-group type = I4mm
polymorph energy (0 for the lowest one) = 0.338 eV per atom
total magnetic moment = 0.00 μB per formula unit

Cell: 5.855 5.855 5.855 Å, 140.63 140.63 56.90°
Atoms (fractional coordinates):
As 0.009 0.009 0.000
Cd 0.343 0.343 0.000
La 0.648 0.648 0.000

=====

Entry 7:
VASP calculation (GGA-PBE) on a geometry-optimized LaCd2As structure.

crystal system = tetragonal
ΔH_f (0 K) = -461 meV per atom
raw total energy = -13.25 eV per cell
space-group type = P4mm
total magnetic moment = 0.00 μB per formula unit

Cell: 4.023 4.023 6.665 Å, 90.00 90.00 90.00°
Atoms (fractional coordinates):
La 0.000 0.000 0.551
As 0.500 0.500 0.716
Cd 0.000 0.000 0.044
Cd 0.500 0.500 0.189

=====

Entry 8:
VASP calculation (GGA-PBE) on a geometry-optimized LaCdAs structure.

crystal system = orthorhombic
ΔH_f (0 K) = -889 meV per atom
raw total energy = -26.32 eV per cell
space-group type = Pmmn
polymorph energy (0 for the lowest one) = 0.000 eV per atom
total magnetic moment = 0.00 μB per formula unit

Cell: 4.311 4.329 8.889 Å, 90.00 89.97 90.00°
Atoms (fractional coordinates):
La 0.250 0.250 0.333
Cd 0.750 0.250 0.998
As 0.750 0.750 0.325
Cd 0.250 0.750 0.002
As 0.250 0.250 0.675
La 0.750 0.750 0.667